(1)
YHoNb2Si2 | PBE-GGA | relaxed

Output
E: -45.9 eV per cell

a = 3.998 Å, b = 3.998 Å, c = 7.768 Å
α = 90.00°, β = 90.00°, γ = 90.00°
Space group P4mm (No. 99)
Inequivalent atoms, fractional coordinates:
1 Y 0.000 0.000 0.000
2 Ho 0.500 0.500 0.294
3 Nb 0.000 0.500 0.646
4 Si 0.000 0.000 0.407
5 Si 0.500 0.500 0.886



(2)
SmHoNb | PBE-GGA | relaxed

Output
energy above the most stable polymorph in this dataset: 0 meV/atom
ΔE_f: 0.802 eV per atom

a = 7.194 Å, b = 7.194 Å, c = 7.194 Å
α = 90.00°, β = 90.00°, γ = 90.00°
Space group F-43m (No. 216)
Inequivalent atoms, fractional coordinates:
1 Sm 0.000 0.000 0.000
2 Ho 0.000 0.000 0.500
3 Nb 0.250 0.250 0.750



(3)
HoNbSn | PBE-GGA | relaxed

Output
E: -69.6 eV per cell

a = 6.923 Å, b = 6.923 Å, c = 6.923 Å
α = 90.00°, β = 90.00°, γ = 90.00°
Space group F-43m (No. 216)
Inequivalent atoms, fractional coordinates:
1 Ho 0.000 0.000 0.000
2 Nb 0.250 0.250 0.250
3 Sn 0.000 0.000 0.500



(4)
TbHoNb2Sn2 | PBE-GGA | relaxed

Output
E: -40.0 eV per cell

a = 4.195 Å, b = 4.195 Å, c = 8.152 Å
α = 90.00°, β = 90.00°, γ = 90.00°
Space group P4mm (No. 99)
Inequivalent atoms, fractional coordinates:
1 Tb 0.000 0.000 0.000
2 Ho 0.500 0.500 0.702
3 Nb 0.000 0.500 0.353
4 Sn 0.000 0.000 0.605
5 Sn 0.500 0.500 0.100



(5)
HoTmNb2Sn2 | PBE-GGA | relaxed

Output
E: -39.8 eV per cell

a = 4.192 Å, b = 4.192 Å, c = 8.038 Å
α = 90.00°, β = 90.00°, γ = 90.00°
Space group P4mm (No. 99)
Inequivalent atoms, fractional coordinates:
1 Ho 0.000 0.000 0.000
2 Tm 0.500 0.500 0.306
3 Nb 0.000 0.500 0.652
4 Sn 0.000 0.000 0.394
5 Sn 0.500 0.500 0.910



(6)
TbHoNb | PBE-GGA | relaxed

Output
energy above the most stable polymorph in this dataset: 0 meV/atom
ΔE_f: 0.795 eV per atom

a = 7.148 Å, b = 7.148 Å, c = 7.148 Å
α = 90.00°, β = 90.00°, γ = 90.00°
Space group F-43m (No. 216)
Inequivalent atoms, fractional coordinates:
1 Tb 0.000 0.000 0.000
2 Ho 0.000 0.000 0.500
3 Nb 0.250 0.250 0.750



(7)
HoNbTe | PBE-GGA | relaxed

Output
energy above the most stable polymorph in this dataset: 0 meV/atom

a = 6.758 Å, b = 6.758 Å, c = 6.758 Å
α = 90.00°, β = 90.00°, γ = 90.00°
Space group F-43m (No. 216)
Inequivalent atoms, fractional coordinates:
1 Ho 0.000 0.000 0.000
2 Nb 0.000 0.000 0.500
3 Te 0.250 0.250 0.250



(8)
HoNbTl | PBE-GGA | relaxed

Output
energy above the most stable polymorph in this dataset: 332 meV/atom

a = 7.012 Å, b = 7.012 Å, c = 7.012 Å
α = 90.00°, β = 90.00°, γ = 90.00°
Space group F-43m (No. 216)
Inequivalent atoms, fractional coordinates:
1 Ho 0.000 0.000 0.000
2 Nb 0.250 0.250 0.750
3 Tl 0.250 0.250 0.250



(9)
HoNbTl | PBE-GGA | relaxed

Output
energy above the most stable polymorph in this dataset: 0 meV/atom

a = 6.864 Å, b = 6.864 Å, c = 6.864 Å
α = 90.00°, β = 90.00°, γ = 90.00°
Space group F-43m (No. 216)
Inequivalent atoms, fractional coordinates:
1 Ho 0.000 0.000 0.000
2 Nb 0.000 0.000 0.500
3 Tl 0.250 0.250 0.250



(10)
HoTmNb | PBE-GGA | relaxed

Output
energy above the most stable polymorph in this dataset: 0 meV/atom
ΔE_f: 0.790 eV per atom

a = 7.107 Å, b = 7.107 Å, c = 7.107 Å
α = 90.00°, β = 90.00°, γ = 90.00°
Space group F-43m (No. 216)
Inequivalent atoms, fractional coordinates:
1 Ho 0.000 0.000 0.000
2 Tm 0.000 0.000 0.500
3 Nb 0.250 0.250 0.250



(11)
HoNbW | PBE-GGA | relaxed

Output
ΔE_f: 0.942 eV per atom

a = 6.493 Å, b = 6.493 Å, c = 6.493 Å
α = 90.00°, β = 90.00°, γ = 90.00°
Space group F-43m (No. 216)
Inequivalent atoms, fractional coordinates:
1 Ho 0.000 0.000 0.000
2 Nb 0.250 0.250 0.250
3 W 0.000 0.000 0.500



(12)
HoNbZn | PBE-GGA | relaxed

Output
energy above the most stable polymorph in this dataset: 0 meV/atom
ΔE_f: 0.466 eV per atom

a = 6.479 Å, b = 6.479 Å, c = 6.479 Å
α = 90.00°, β = 90.00°, γ = 90.00°
Space group F-43m (No. 216)
Inequivalent atoms, fractional coordinates:
1 Ho 0.000 0.000 0.000
2 Nb 0.000 0.000 0.500
3 Zn 0.250 0.250 0.250



In the order shown, the computed magnetization values come out to 1.100 8.272 10.759 1.076 0.919 8.231 0.107 12.106 8.013 8.291 0.040 1.647 μB per cell.